(1)
The following is a DFT calculation (PBE-GGA) of a relaxed structure of TbPm3Dy12.

a = 5.0376 Å, b = 5.0376 Å, c = 20.1595 Å
α = 90.00°, β = 90.00°, γ = 90.00°
With the nearest neighbours (Å) after each atom.
Fractional positions:
Tb 0.0000 0.0000 0.0000  12 Dy 3.55-3.56
Pm 0.0000 0.0000 0.2493  12 Dy 3.56-3.57
Pm 0.0000 0.0000 0.5000  12 Dy 3.56-3.57
Pm 0.0000 0.0000 0.7507  12 Dy 3.56-3.57
Dy 0.0000 0.5000 0.1238  2 Tb 3.55, 8 Dy 3.55-3.57, 2 Pm 3.57
Dy 0.0000 0.5000 0.3745  8 Dy 3.56-3.57, 4 Pm 3.57
Dy 0.0000 0.5000 0.6255  8 Dy 3.56-3.57, 4 Pm 3.57
Dy 0.0000 0.5000 0.8762  2 Tb 3.55, 8 Dy 3.55-3.57, 2 Pm 3.57
Dy 0.5000 0.0000 0.1238  2 Tb 3.55, 8 Dy 3.55-3.57, 2 Pm 3.57
Dy 0.5000 0.0000 0.3745  8 Dy 3.56-3.57, 4 Pm 3.57
Dy 0.5000 0.0000 0.6255  8 Dy 3.56-3.57, 4 Pm 3.57
Dy 0.5000 0.0000 0.8762  2 Tb 3.55, 8 Dy 3.55-3.57, 2 Pm 3.57
Dy 0.5000 0.5000 0.0000  8 Dy 3.55, 4 Tb 3.56
Dy 0.5000 0.5000 0.2490  4 Pm 3.56, 8 Dy 3.57
Dy 0.5000 0.5000 0.5000  4 Pm 3.56, 8 Dy 3.57
Dy 0.5000 0.5000 0.7510  4 Pm 3.56, 8 Dy 3.57

Summary:
* formation energy from the elements: 0.02 eV/atom


(2)
The following is a DFT calculation (PBE-GGA) of a relaxed structure of TbPmDy2.

a = 3.6426 Å, b = 11.4360 Å, c = 6.2811 Å
α = 90.00°, β = 90.00°, γ = 90.00°
With the nearest neighbours (Å) after each atom.
Fractional positions:
Tb 0.0000 0.0000 0.0000  6 Dy 3.54-3.55, 4 Pm 3.62-3.64, 2 Tb 3.64
Tb 0.5000 0.5000 0.5000  6 Dy 3.54-3.55, 4 Pm 3.62-3.64, 2 Tb 3.64
Pm 0.0000 0.5000 0.0020  6 Dy 3.54-3.56, 4 Tb 3.62-3.64, 2 Pm 3.64
Pm 0.5000 0.0000 0.5020  6 Dy 3.54-3.56, 4 Tb 3.62-3.64, 2 Pm 3.64
Dy 0.0000 0.2511 0.6678  3 Pm 3.54-3.56, 3 Tb 3.54-3.55, 6 Dy 3.63-3.64
Dy 0.0000 0.7489 0.6678  3 Pm 3.54-3.56, 3 Tb 3.54-3.55, 6 Dy 3.63-3.64
Dy 0.5000 0.2489 0.1678  3 Pm 3.54-3.56, 3 Tb 3.54-3.55, 6 Dy 3.63-3.64
Dy 0.5000 0.7511 0.1678  3 Pm 3.54-3.56, 3 Tb 3.54-3.55, 6 Dy 3.63-3.64

Summary:
* energy above the most stable polymorph in this dataset: 0.0052 eV per atom
* formation energy from the elements: 0.02 eV/atom


(3)
The following is a DFT calculation (PBE-GGA) of a relaxed structure of Tb2PmDy.

a = 3.6920 Å, b = 5.9233 Å, c = 11.9284 Å
α = 90.00°, β = 90.00°, γ = 90.00°
With the nearest neighbours (Å) after each atom.
Fractional positions:
Tb 0.0000 0.0000 0.0000  2 Dy 3.44, 4 Tb 3.47-3.69, 4 Pm 3.49
Tb 0.0000 0.5000 0.2538  4 Tb 3.47-3.69, 4 Dy 3.49, 2 Pm 3.58
Tb 0.5000 0.0000 0.7538  4 Tb 3.47-3.69, 4 Dy 3.49, 2 Pm 3.58
Tb 0.5000 0.5000 0.5000  2 Dy 3.44, 4 Tb 3.47-3.69, 4 Pm 3.49
Pm 0.0000 0.0000 0.4971  6 Tb 3.49-3.58, 2 Dy 3.54, 2 Pm 3.69
Pm 0.5000 0.5000 0.9971  6 Tb 3.49-3.58, 2 Dy 3.54, 2 Pm 3.69
Dy 0.0000 0.5000 0.7436  6 Tb 3.44-3.49, 2 Pm 3.54, 2 Dy 3.69
Dy 0.5000 0.0000 0.2436  6 Tb 3.44-3.49, 2 Pm 3.54, 2 Dy 3.69

Summary:
* energy above the most stable polymorph in this dataset: 0.1089 eV per atom
* formation energy from the elements: 0.12 eV/atom


(4)
The following is a DFT calculation (PBE-GGA) of a relaxed structure of Tb5Pm5Dy2.

a = 6.5807 Å, b = 6.5807 Å, c = 12.3890 Å
α = 106.68°, β = 106.68°, γ = 51.09°
With the nearest neighbours (Å) after each atom.
Fractional positions:
Tb 0.0000 0.0000 0.0000  2 Tb 3.43, 6 Pm 3.60-3.77
Tb 0.1846 0.1846 0.4687  3 Tb 3.21-3.40, 2 Dy 3.24-3.51
Tb 0.2591 0.2591 0.2252  2 Dy 3.35, 2 Tb 3.40-3.43, 7 Pm 3.41-3.69
Tb 0.7409 0.7409 0.7748  2 Dy 3.35, 2 Tb 3.40-3.43, 7 Pm 3.41-3.69
Tb 0.8154 0.8154 0.5313  3 Tb 3.21-3.40, 2 Dy 3.24-3.51
Pm 0.3054 0.3054 0.9675  3 Pm 3.33-3.37, 5 Tb 3.41-3.63, 1 Dy 3.45
Pm 0.4240 0.4240 0.7542  2 Pm 3.37-3.54, 2 Dy 3.57, 4 Tb 3.63-3.77
Pm 0.5000 0.5000 0.5000  2 Pm 3.54, 8 Tb 3.64-3.69, 4 Dy 3.74
Pm 0.5760 0.5760 0.2458  2 Pm 3.37-3.54, 2 Dy 3.57, 4 Tb 3.63-3.77
Pm 0.6946 0.6946 0.0325  3 Pm 3.33-3.37, 5 Tb 3.41-3.63, 1 Dy 3.45
Dy 0.0847 0.0847 0.7067  4 Tb 3.24-3.51, 3 Pm 3.45-3.57
Dy 0.9153 0.9153 0.2933  4 Tb 3.24-3.51, 3 Pm 3.45-3.57

Summary:
* energy above the most stable polymorph in this dataset: 0.0799 eV per atom
* formation energy from the elements: 0.09 eV/atom


(5)
The following is a DFT calculation (PBE-GGA) of a relaxed structure of Tb4PmDy5.

a = 6.2791 Å, b = 6.7421 Å, c = 9.2205 Å
α = 72.04°, β = 89.99°, γ = 62.26°
With the nearest neighbours (Å) after each atom.
Fractional positions:
Tb 0.0000 0.0000 0.0000  7 Dy 3.52-3.65, 3 Tb 3.52-3.62, 2 Pm 3.62-3.64
Tb 0.0665 0.2008 0.2986  7 Dy 3.52-3.63, 5 Tb 3.52-3.63
Tb 0.6002 0.8007 0.1988  6 Dy 3.51-3.63, 5 Tb 3.52-3.62, 1 Pm 3.63
Tb 0.6675 0.9998 0.4978  8 Dy 3.52-3.64, 3 Tb 3.52-3.63, 1 Pm 3.54
Pm 0.4023 0.2007 0.7990  8 Dy 3.52-3.65, 4 Tb 3.54-3.64
Dy 0.2000 0.6005 0.3992  7 Tb 3.52-3.63, 4 Dy 3.52-3.62, 1 Pm 3.63
Dy 0.2677 0.8023 0.6984  6 Dy 3.53-3.64, 2 Pm 3.53-3.54, 4 Tb 3.54-3.63
Dy 0.4672 0.4021 0.1000  7 Tb 3.51-3.63, 4 Dy 3.52-3.64, 1 Pm 3.54
Dy 0.7995 0.4009 0.5974  5 Tb 3.52-3.65, 5 Dy 3.53-3.62, 2 Pm 3.62-3.65
Dy 0.8693 0.5990 0.8987  2 Pm 3.52-3.54, 5 Tb 3.53-3.64, 5 Dy 3.54-3.63

Summary:
* energy above the most stable polymorph in this dataset: 0.0000 eV per atom
* formation energy from the elements: 0.01 eV/atom


(6)
The following is a DFT calculation (PBE-GGA) of a relaxed structure of Tb2PmDy3.

a = 7.1795 Å, b = 7.1872 Å, c = 8.8598 Å
α = 78.20°, β = 78.23°, γ = 60.13°
With the nearest neighbours (Å) after each atom.
Fractional positions:
Tb 0.1391 0.1385 0.1660  3 Tb 3.52-3.59, 8 Dy 3.53-3.60, 1 Pm 3.55
Tb 0.3606 0.8614 0.8352  7 Dy 3.51-3.60, 3 Tb 3.52-3.59, 2 Pm 3.55-3.56
Tb 0.6394 0.1386 0.1648  7 Dy 3.51-3.60, 3 Tb 3.52-3.59, 2 Pm 3.55-3.56
Tb 0.8609 0.8615 0.8340  3 Tb 3.52-3.59, 8 Dy 3.53-3.60, 1 Pm 3.55
Pm 0.2499 0.2501 0.5005  7 Dy 3.55-3.60, 3 Tb 3.55-3.56, 2 Pm 3.60
Pm 0.7501 0.7499 0.4995  7 Dy 3.55-3.60, 3 Tb 3.55-3.56, 2 Pm 3.60
Dy 0.1396 0.6383 0.1649  6 Tb 3.51-3.60, 4 Dy 3.52-3.59, 2 Pm 3.55
Dy 0.2502 0.7498 0.4998  5 Dy 3.54-3.60, 3 Tb 3.54-3.56, 4 Pm 3.59-3.60
Dy 0.3608 0.3620 0.8340  5 Dy 3.52-3.59, 6 Tb 3.53-3.60, 1 Pm 3.55
Dy 0.6392 0.6380 0.1660  5 Dy 3.52-3.59, 6 Tb 3.53-3.60, 1 Pm 3.55
Dy 0.7498 0.2502 0.5002  5 Dy 3.54-3.60, 3 Tb 3.54-3.56, 4 Pm 3.59-3.60
Dy 0.8604 0.3617 0.8351  6 Tb 3.51-3.60, 4 Dy 3.52-3.59, 2 Pm 3.55

Summary:
* energy above the most stable polymorph in this dataset: 0.0000 eV per atom
* formation energy from the elements: 0.00 eV/atom


(7)
The following is a DFT calculation (PBE-GGA) of a relaxed structure of Tb3Pm2Dy3.

a = 5.0604 Å, b = 5.0608 Å, c = 20.1848 Å
α = 90.00°, β = 90.00°, γ = 90.00°
With the nearest neighbours (Å) after each atom.
Fractional positions:
Tb 0.0000 0.0000 0.0000  4 Tb 3.55, 8 Dy 3.55-3.58
Tb 0.0000 0.5000 0.3765  2 Tb 3.55, 6 Dy 3.55-3.58, 4 Pm 3.59-3.60
Tb 0.0000 0.5000 0.6235  2 Tb 3.55, 6 Dy 3.55-3.58, 4 Pm 3.59-3.60
Tb 0.5000 0.0000 0.1235  2 Tb 3.55, 6 Dy 3.55-3.58, 4 Pm 3.59-3.60
Tb 0.5000 0.0000 0.8765  2 Tb 3.55, 6 Dy 3.55-3.58, 4 Pm 3.59-3.60
Tb 0.5000 0.5000 0.5000  4 Tb 3.55, 8 Dy 3.55-3.58
Pm 0.0000 0.0000 0.2501  4 Pm 3.58, 4 Dy 3.59, 4 Tb 3.59-3.60
Pm 0.0000 0.0000 0.7499  4 Pm 3.58, 4 Dy 3.59, 4 Tb 3.59-3.60
Pm 0.5000 0.5000 0.2499  4 Pm 3.58, 4 Dy 3.59, 4 Tb 3.59-3.60
Pm 0.5000 0.5000 0.7501  4 Pm 3.58, 4 Dy 3.59, 4 Tb 3.59-3.60
Dy 0.0000 0.0000 0.5000  8 Tb 3.55-3.58, 4 Dy 3.55
Dy 0.0000 0.5000 0.1235  2 Dy 3.55, 6 Tb 3.55-3.58, 4 Pm 3.59
Dy 0.0000 0.5000 0.8765  2 Dy 3.55, 6 Tb 3.55-3.58, 4 Pm 3.59
Dy 0.5000 0.0000 0.3765  2 Dy 3.55, 6 Tb 3.55-3.58, 4 Pm 3.59
Dy 0.5000 0.0000 0.6235  2 Dy 3.55, 6 Tb 3.55-3.58, 4 Pm 3.59
Dy 0.5000 0.5000 0.0000  8 Tb 3.55-3.58, 4 Dy 3.55

Summary:
* formation energy from the elements: 0.02 eV/atom


(8)
The following is a DFT calculation (PBE-GGA) of a relaxed structure of TbPmDy3.

a = 6.3061 Å, b = 5.6826 Å, c = 9.6227 Å
α = 90.00°, β = 109.11°, γ = 90.00°
With the nearest neighbours (Å) after each atom.
Fractional positions:
Tb 0.0332 0.2500 0.4002  8 Dy 3.53-3.65, 2 Tb 3.53, 2 Pm 3.63-3.65
Tb 0.9668 0.7500 0.5998  8 Dy 3.53-3.65, 2 Tb 3.53, 2 Pm 3.63-3.65
Pm 0.4317 0.2500 0.1999  10 Dy 3.54-3.65, 2 Tb 3.63-3.65
Pm 0.5683 0.7500 0.8001  10 Dy 3.54-3.65, 2 Tb 3.63-3.65
Dy 0.1644 0.7500 0.9993  7 Dy 3.52-3.65, 4 Pm 3.54-3.65, 1 Tb 3.63
Dy 0.2339 0.2500 0.7995  3 Tb 3.53-3.63, 6 Dy 3.54-3.65, 3 Pm 3.54-3.64
Dy 0.3653 0.7500 0.4012  4 Tb 3.53-3.65, 5 Dy 3.53-3.65, 3 Pm 3.54-3.63
Dy 0.6347 0.2500 0.5988  4 Tb 3.53-3.65, 5 Dy 3.53-3.65, 3 Pm 3.54-3.63
Dy 0.7661 0.7500 0.2005  3 Tb 3.53-3.63, 6 Dy 3.54-3.65, 3 Pm 3.54-3.64
Dy 0.8356 0.2500 0.0007  7 Dy 3.52-3.65, 4 Pm 3.54-3.65, 1 Tb 3.63

Summary:
* energy above the most stable polymorph in this dataset: 0.0000 eV per atom
* formation energy from the elements: 0.01 eV/atom


(9)
The following is a DFT calculation (PBE-GGA) of a relaxed structure of Tb3Pm7Dy2.

a = 19.3603 Å, b = 19.3603 Å, c = 3.6279 Å
α = 90.00°, β = 90.00°, γ = 162.78°
With the nearest neighbours (Å) after each atom.
Fractional positions:
Tb 0.0000 0.0000 0.0000  4 Pm 3.42, 2 Tb 3.63
Tb 0.1846 0.8154 0.0000  2 Tb 3.63, 8 Pm 3.68-3.96, 4 Dy 3.69
Tb 0.8154 0.1846 0.0000  2 Tb 3.63, 8 Pm 3.68-3.96, 4 Dy 3.69
Pm 0.0926 0.9074 0.5000  6 Pm 3.50-3.63, 2 Dy 3.60
Pm 0.2682 0.7318 0.5000  1 Dy 3.19, 2 Pm 3.21
Pm 0.4273 0.5727 0.0000  8 Pm 3.32-3.63, 2 Dy 3.42
Pm 0.5000 0.5000 0.5000  6 Pm 3.32-3.63, 4 Tb 3.42
Pm 0.5727 0.4273 0.0000  8 Pm 3.32-3.63, 2 Dy 3.42
Pm 0.7318 0.2682 0.5000  1 Dy 3.19, 2 Pm 3.21
Pm 0.9074 0.0926 0.5000  6 Pm 3.50-3.63, 2 Dy 3.60
Dy 0.3515 0.6485 0.5000  3 Pm 3.19-3.42
Dy 0.6485 0.3515 0.5000  3 Pm 3.19-3.42

Summary:
* energy above the most stable polymorph in this dataset: 0.0379 eV per atom
* formation energy from the elements: 0.11 eV/atom


(10)
The following is a DFT calculation (PBE-GGA) of a relaxed structure of TbPm5Dy2.

a = 7.2253 Å, b = 14.4491 Å, c = 5.1044 Å
α = 90.00°, β = 90.00°, γ = 90.00°
With the nearest neighbours (Å) after each atom.
Fractional positions:
Tb 0.0000 0.0000 0.0000  8 Pm 3.60-3.61, 4 Dy 3.60
Tb 0.5000 0.5000 0.0000  8 Pm 3.60-3.61, 4 Dy 3.60
Pm 0.0003 0.2493 0.0000  1 Tb 3.60, 7 Pm 3.61-3.62, 4 Dy 3.61-3.62
Pm 0.0000 0.5000 0.0000  4 Dy 3.61, 6 Pm 3.61-3.62, 2 Tb 3.61
Pm 0.9997 0.7507 0.0000  1 Tb 3.60, 7 Pm 3.61-3.62, 4 Dy 3.61-3.62
Pm 0.2496 0.1245 0.5000  4 Dy 3.60-3.63, 2 Tb 3.61, 6 Pm 3.61-3.62
Pm 0.2504 0.6245 0.5000  4 Dy 3.60-3.63, 2 Tb 3.61, 6 Pm 3.61-3.62
Pm 0.5000 0.0000 0.0000  4 Dy 3.61, 6 Pm 3.61-3.62, 2 Tb 3.61
Pm 0.5003 0.2507 0.0000  1 Tb 3.60, 7 Pm 3.61-3.62, 4 Dy 3.61-3.62
Pm 0.4997 0.7493 0.0000  1 Tb 3.60, 7 Pm 3.61-3.62, 4 Dy 3.61-3.62
Pm 0.7496 0.3755 0.5000  4 Dy 3.60-3.63, 2 Tb 3.61, 6 Pm 3.61-3.62
Pm 0.7504 0.8755 0.5000  4 Dy 3.60-3.63, 2 Tb 3.61, 6 Pm 3.61-3.62
Dy 0.2495 0.8756 0.5000  10 Pm 3.60-3.63, 2 Tb 3.60
Dy 0.2505 0.3756 0.5000  10 Pm 3.60-3.63, 2 Tb 3.60
Dy 0.7495 0.6244 0.5000  10 Pm 3.60-3.63, 2 Tb 3.60
Dy 0.7505 0.1244 0.5000  10 Pm 3.60-3.63, 2 Tb 3.60

Summary:
* energy above the most stable polymorph in this dataset: 0.0000 eV per atom
* formation energy from the elements: 0.02 eV/atom


(11)
The following is a DFT calculation (PBE-GGA) of a relaxed structure of Tb4Pm5Dy.

a = 9.2873 Å, b = 9.2873 Å, c = 10.4685 Å
α = 95.95°, β = 95.95°, γ = 22.34°
With the nearest neighbours (Å) after each atom.
Fractional positions:
Tb 0.0450 0.0450 0.2616  2 Dy 3.25, 4 Pm 3.30-3.42, 4 Tb 3.34-3.60
Tb 0.3174 0.3174 0.5881  6 Tb 3.34-3.60, 1 Dy 3.55, 1 Pm 3.67
Tb 0.6826 0.6826 0.4119  6 Tb 3.34-3.60, 1 Dy 3.55, 1 Pm 3.67
Tb 0.9550 0.9550 0.7384  2 Dy 3.25, 4 Pm 3.30-3.42, 4 Tb 3.34-3.60
Pm 0.1422 0.1422 0.7316  2 Tb 3.42-3.67, 3 Pm 3.60-3.82, 2 Dy 3.81
Pm 0.1893 0.1893 0.0962  1 Tb 3.30, 4 Pm 3.60-3.62
Pm 0.5000 0.5000 0.0000  4 Tb 3.31, 2 Pm 3.60
Pm 0.8107 0.8107 0.9038  1 Tb 3.30, 4 Pm 3.60-3.62
Pm 0.8578 0.8578 0.2684  2 Tb 3.42-3.67, 3 Pm 3.60-3.82, 2 Dy 3.81
Dy 0.5000 0.5000 0.5000  6 Tb 3.25-3.55, 2 Dy 3.60

Summary:
* formation energy from the elements: 0.15 eV/atom


(12)
The following is a DFT calculation (PBE-GGA) of a relaxed structure of Tb6Pm2Dy5.

a = 11.6965 Å, b = 20.2475 Å, c = 3.5915 Å
α = 90.00°, β = 90.00°, γ = 90.00°
With the nearest neighbours (Å) after each atom.
Fractional positions:
Tb 0.0591 0.0785 0.0000  6 Dy 3.46-3.59, 5 Tb 3.47-3.72, 1 Pm 3.83
Tb 0.0801 0.3664 0.0000  1 Pm 3.37, 6 Dy 3.38-3.55, 4 Tb 3.50-3.59
Tb 0.1768 0.6293 0.5000  2 Dy 3.31-3.34, 4 Tb 3.50-3.59, 2 Pm 3.64
Tb 0.3232 0.1293 0.5000  2 Dy 3.31-3.34, 4 Tb 3.50-3.59, 2 Pm 3.64
Tb 0.4199 0.8664 0.0000  1 Pm 3.37, 6 Dy 3.38-3.55, 4 Tb 3.50-3.59
Tb 0.4409 0.5785 0.0000  6 Dy 3.46-3.59, 5 Tb 3.47-3.72, 1 Pm 3.83
Tb 0.5591 0.4215 0.0000  6 Dy 3.46-3.59, 5 Tb 3.47-3.72, 1 Pm 3.83
Tb 0.5801 0.1336 0.0000  1 Pm 3.37, 6 Dy 3.38-3.55, 4 Tb 3.50-3.59
Tb 0.6768 0.8707 0.5000  2 Dy 3.31-3.34, 4 Tb 3.50-3.59, 2 Pm 3.64
Tb 0.8232 0.3707 0.5000  2 Dy 3.31-3.34, 4 Tb 3.50-3.59, 2 Pm 3.64
Tb 0.9199 0.6336 0.0000  1 Pm 3.37, 6 Dy 3.38-3.55, 4 Tb 3.50-3.59
Tb 0.9409 0.9215 0.0000  6 Dy 3.46-3.59, 5 Tb 3.47-3.72, 1 Pm 3.83
Pm 0.1679 0.7855 0.0000  3 Tb 3.37-3.64, 6 Dy 3.53-3.77, 2 Pm 3.59
Pm 0.3321 0.2855 0.0000  3 Tb 3.37-3.64, 6 Dy 3.53-3.77, 2 Pm 3.59
Pm 0.6679 0.7145 0.0000  3 Tb 3.37-3.64, 6 Dy 3.53-3.77, 2 Pm 3.59
Pm 0.8321 0.2145 0.0000  3 Tb 3.37-3.64, 6 Dy 3.53-3.77, 2 Pm 3.59
Dy 0.0000 0.5000 0.5000  6 Tb 3.34-3.38, 4 Dy 3.59-3.67
Dy 0.0918 0.2233 0.5000  5 Tb 3.31-3.46, 4 Pm 3.53-3.57, 2 Dy 3.59
Dy 0.1991 0.9480 0.5000  7 Tb 3.55-3.95, 3 Dy 3.59-3.67, 2 Pm 3.77
Dy 0.3009 0.4480 0.5000  7 Tb 3.55-3.95, 3 Dy 3.59-3.67, 2 Pm 3.77
Dy 0.4082 0.7233 0.5000  5 Tb 3.31-3.46, 4 Pm 3.53-3.57, 2 Dy 3.59
Dy 0.5000 0.0000 0.5000  6 Tb 3.34-3.38, 4 Dy 3.59-3.67
Dy 0.5918 0.2767 0.5000  5 Tb 3.31-3.46, 4 Pm 3.53-3.57, 2 Dy 3.59
Dy 0.6991 0.5520 0.5000  7 Tb 3.55-3.95, 3 Dy 3.59-3.67, 2 Pm 3.77
Dy 0.8009 0.0520 0.5000  7 Tb 3.55-3.95, 3 Dy 3.59-3.67, 2 Pm 3.77
Dy 0.9082 0.7767 0.5000  5 Tb 3.31-3.46, 4 Pm 3.53-3.57, 2 Dy 3.59

Summary:
* formation energy from the elements: 0.10 eV/atom